Record 1
The following is a GGA-PBE calculation of Zn2GeB2Rh5 after structural relaxation, from Alexandria.

Output
Calculated total energy ... -6.17 eV per atom
Space-group type ... P4/mbm (127)
Calculated volume ... 254.3 Å³ per cell

extended XYZ file:
```
20
Lattice="9.3926 0.0000 0.0000 0.0000 9.3926 0.0000 0.0000 0.0000 2.8821" Properties=species:S:1:pos:R:3 pbc="T T T"
Zn 1.6318 3.0645 0.0000
Zn 3.0645 7.7608 0.0000
Zn 6.3281 1.6318 0.0000
Zn 7.7608 6.3281 0.0000
Ge 0.0000 0.0000 0.0000
Ge 4.6963 4.6963 0.0000
B 1.1820 5.8783 0.0000
B 3.5142 1.1820 0.0000
B 5.8783 8.2105 0.0000
B 8.2105 3.5142 0.0000
Rh 0.0000 4.6963 1.4411
Rh 0.7321 7.4144 1.4411
Rh 1.9782 0.7321 1.4411
Rh 2.7181 5.4284 1.4411
Rh 3.9642 2.7181 1.4411
Rh 4.6963 0.0000 1.4411
Rh 5.4284 6.6745 1.4411
Rh 6.6745 3.9642 1.4411
Rh 7.4144 8.6605 1.4411
Rh 8.6605 1.9782 1.4411
```



Record 2
The following is a GGA-PBE calculation of Zr2GeBRh6 after structural relaxation, from Alexandria.

Output
Calculated total energy ... -7.83 eV per atom
Space-group type ... P-1 (2)
Calculated volume ... 158.2 Å³ per cell

extended XYZ file:
```
10
Lattice="5.4819 0.0000 0.0000 2.6180 5.0113 0.0000 2.4748 -0.8634 5.7569" Properties=species:S:1:pos:R:3 pbc="T T T"
Zr 1.4579 1.3781 1.3165
Zr 9.1168 2.7698 4.4404
Ge 4.0500 2.5057 0.0000
B 3.9784 -0.4317 2.8784
Rh 2.2430 0.2957 3.8414
Rh 4.2921 1.4243 2.1267
Rh 5.0432 0.0708 4.6042
Rh 5.5315 4.0771 1.1527
Rh 6.2826 2.7236 3.6302
Rh 8.3318 3.8522 1.9155
```



Record 3
The following is a GGA-PBE calculation of GeB2Ru after structural relaxation, from Alexandria.

Output
Calculated total energy ... -6.25 eV per atom
Space-group type ... I-42d (122)
Calculated volume ... 110.6 Å³ per cell

extended XYZ file:
```
8
Lattice="-2.4578 2.4578 4.5779 2.4578 -2.4578 4.5779 2.4578 2.4578 -4.5779" Properties=species:S:1:pos:R:3 pbc="T T T"
Ge 0.0000 0.0000 0.0000
Ge 0.0000 2.4578 2.2890
B 1.2289 -1.1253 3.4334
B 1.3325 1.2289 1.1445
B 1.2289 3.5831 -1.1445
B 1.1253 1.2289 5.7224
Ru 2.4578 0.0000 2.2890
Ru 0.0000 0.0000 4.5779
```



Record 4
The following is a GGA-PBE calculation of Ge3BRu after structural relaxation, from Alexandria.

Output
Calculated total energy ... -4.89 eV per atom
Space-group type ... Pm-3m (221)
Calculated volume ... 108.5 Å³ per cell

extended XYZ file:
```
5
Lattice="4.7690 0.0000 0.0000 0.0000 4.7690 0.0000 0.0000 0.0000 4.7690" Properties=species:S:1:pos:R:3 pbc="T T T"
Ge 0.0000 0.0000 2.3845
Ge 0.0000 2.3845 0.0000
Ge 2.3845 0.0000 0.0000
B 2.3845 2.3845 2.3845
Ru 0.0000 0.0000 0.0000
```



Record 5
The following is a GGA-PBE calculation of Ge3BRu after structural relaxation, from Alexandria.

Output
Calculated total energy ... -5.05 eV per atom
Space-group type ... Pm-3m (221)
Calculated volume ... 78.0 Å³ per cell

extended XYZ file:
```
5
Lattice="4.2718 0.0000 0.0000 0.0000 4.2718 0.0000 0.0000 0.0000 4.2718" Properties=species:S:1:pos:R:3 pbc="T T T"
Ge 0.0000 0.0000 2.1359
Ge 0.0000 2.1359 0.0000
Ge 2.1359 0.0000 0.0000
B 0.0000 0.0000 0.0000
Ru 2.1359 2.1359 2.1359
```



Record 6
The following is a GGA-PBE calculation of Ge2BRu after structural relaxation, from Alexandria.

Output
Calculated total energy ... -5.69 eV per atom
Space-group type ... I-42d (122)
Calculated volume ... 136.3 Å³ per cell

extended XYZ file:
```
8
Lattice="-2.7531 2.7531 4.4957 2.7531 -2.7531 4.4957 2.7531 2.7531 -4.4957" Properties=species:S:1:pos:R:3 pbc="T T T"
Ge 4.1297 1.1075 -1.1239
Ge 1.1075 1.3766 1.1239
Ge -1.3766 1.6457 3.3718
Ge 1.6457 1.3766 5.6197
B 0.0000 0.0000 0.0000
B 0.0000 2.7531 2.2479
Ru 2.7531 0.0000 2.2479
Ru 0.0000 0.0000 4.4957
```